Record 1
Computed, not measured: an optimized crystal structure of CuHgB at the PBE level of DFT.

Cell lengths 2.935, 2.939, 5.150 Å; angles 90.08, 89.96, 90.02 degrees
Fractional positions:
B (0.965, 0.376, 0.707)
Hg (0.960, 0.375, 0.162)
Cu (0.465, 0.876, 0.622)

## Properties
Size of the total moment: 0.00 Bohr magnetons per cell
Excess energy over the best structure of this formula in the dataset: 0.3459 eV per atom
Final energy: -9.1 eV/f.u.
DFT formation energy: 0.66 eV/atom


Record 2
Computed, not measured: an optimized crystal structure of AlCdIr2 at the PBE level of DFT.

Cell lengths 5.503, 5.503, 5.503 Å; angles 148.92, 131.65, 58.60 degrees
Fractional positions:
Ir (0.984, 0.984, 0.000)
Ir (0.738, 0.238, 0.500)
Al (0.523, 0.523, 0.000)
Cd (0.255, 0.755, 0.500)

## Properties
Size of the total moment: 0.00 Bohr magnetons per cell
Final energy: -22.7 eV/f.u.
DFT formation energy: -0.07 eV/atom


Record 3
Computed, not measured: an optimized crystal structure of CdReTe at the PBE level of DFT.

Cell lengths 4.909, 4.909, 2.895 Å; angles 90.00, 90.00, 120.00 degrees
Fractional positions:
Te (0.333, 0.667, 0.500)
Re (0.667, 0.333, 0.500)
Cd (0.000, 0.000, 0.000)

## Properties
Size of the total moment: 0.00 Bohr magnetons per cell
Excess energy over the best structure of this formula in the dataset: 0.4185 eV per atom
Final energy: -13.9 eV/f.u.
Raw formation energy: 0.8659 eV per atom


Record 4
Computed, not measured: an optimized crystal structure of Mg2TcCl at the PBE level of DFT.

Cell lengths 3.075, 3.075, 8.968 Å; angles 90.00, 90.00, 116.69 degrees
Fractional positions:
Mg (0.500, 0.500, 0.265)
Mg (0.000, 0.000, 0.973)
Tc (0.000, 0.000, 0.507)
Cl (0.500, 0.500, 0.756)

## Properties
Size of the total moment: 2.03 Bohr magnetons per cell
Excess energy over the best structure of this formula in the dataset: 0.4394 eV per atom
Final energy: -14.7 eV/f.u.
Raw formation energy: 0.1768 eV per atom


Record 5
Computed, not measured: an optimized crystal structure of YCuPb at the PBE level of DFT.

Cell lengths 5.951, 4.625, 5.950 Å; angles 112.86, 95.50, 67.15 degrees
Fractional positions:
Cu (0.538, 0.974, 0.530)
Cu (0.184, 0.326, 0.884)
Pb (0.947, 0.898, 0.790)
Pb (0.445, 0.401, 0.293)
Y (0.540, 0.650, 0.886)
Y (0.024, 0.149, 0.369)

## Properties
Size of the total moment: 0.00 Bohr magnetons per cell
Final energy: -15.3 eV/f.u.
DFT formation energy: -0.34 eV/atom


Record 6
Computed, not measured: an optimized crystal structure of YAlPCl2 at the PBE level of DFT.

Cell lengths 4.645, 4.645, 4.992 Å; angles 90.00, 90.00, 90.00 degrees
Fractional positions:
Y (0.500, 0.500, 0.500)
Cl (0.500, 0.000, 0.000)
Cl (0.000, 0.500, 0.000)
P (0.000, 0.000, 0.500)
Al (0.000, 0.000, 0.000)

## Properties
Size of the total moment: 0.00 Bohr magnetons per cell
Excess energy over the best structure of this formula in the dataset: 0.0000 eV per atom
Final energy: -22.9 eV/f.u.
Raw formation energy: -0.7131 eV per atom


Record 7
Computed, not measured: an optimized crystal structure of TbMgInPd at the PBE level of DFT.

Cell lengths 4.966, 4.966, 4.966 Å; angles 60.00, 60.00, 60.00 degrees
Fractional positions:
Mg (0.750, 0.750, 0.750)
Pd (0.500, 0.500, 0.500)
Tb (0.250, 0.250, 0.250)
In (0.000, 0.000, 0.000)

## Properties
Size of the total moment: 0.00 Bohr magnetons per cell
Final energy: -16.4 eV/f.u.
DFT formation energy: -0.55 eV/atom


Record 8
Computed, not measured: an optimized crystal structure of LaTm5Rh4 at the PBE level of DFT.

Cell lengths 3.396, 3.396, 19.185 Å; angles 90.00, 90.00, 90.00 degrees
Fractional positions:
Rh (0.000, 0.000, 0.588)
Rh (0.000, 0.000, 0.766)
Rh (0.000, 0.000, 0.234)
Rh (0.000, 0.000, 0.412)
Tm (0.500, 0.500, 0.324)
Tm (0.500, 0.500, 0.849)
Tm (0.500, 0.500, 0.500)
Tm (0.500, 0.500, 0.151)
Tm (0.500, 0.500, 0.676)
La (0.000, 0.000, 0.000)

## Properties
Size of the total moment: 0.00 Bohr magnetons per cell
Final energy: -64.5 eV/f.u.
DFT formation energy: -0.78 eV/atom


Record 9
Computed, not measured: an optimized crystal structure of RePt2Pb at the PBE level of DFT.

Cell lengths 4.485, 4.485, 6.286 Å; angles 83.82, 83.82, 37.20 degrees
Fractional positions:
Pt (0.008, 0.008, 0.949)
Pt (0.492, 0.492, 0.551)
Pb (0.250, 0.250, 0.250)
Re (0.750, 0.750, 0.750)

## Properties
Size of the total moment: 0.41 Bohr magnetons per cell
Final energy: -26.7 eV/f.u.
DFT formation energy: 0.38 eV/atom


Record 10
Computed, not measured: an optimized crystal structure of Hf6Be2N at the PBE level of DFT.

Cell lengths 5.616, 6.640, 8.346 Å; angles 90.00, 91.56, 90.00 degrees
Fractional positions:
Hf (0.333, 0.830, 0.440)
Hf (0.864, 0.965, 0.247)
Hf (0.149, 0.308, 0.438)
Hf (0.833, 0.670, 0.940)
Hf (0.649, 0.192, 0.938)
Hf (0.167, 0.330, 0.060)
Hf (0.667, 0.170, 0.560)
Hf (0.136, 0.035, 0.753)
Hf (0.351, 0.808, 0.062)
Hf (0.364, 0.535, 0.747)
Hf (0.851, 0.692, 0.562)
Hf (0.636, 0.465, 0.253)
Be (0.942, 0.379, 0.751)
Be (0.442, 0.121, 0.251)
Be (0.558, 0.879, 0.749)
Be (0.058, 0.621, 0.249)
N (0.500, 0.500, 0.000)
N (0.000, 0.000, 0.500)

## Properties
Size of the total moment: 0.00 Bohr magnetons per cell
Final energy: -79.3 eV/f.u.
Raw formation energy: -0.4183 eV per atom


Record 11
Computed, not measured: an optimized crystal structure of TeWI2Br at the PBE level of DFT.

Cell lengths 5.691, 5.691, 5.875 Å; angles 90.00, 90.00, 90.00 degrees
Fractional positions:
I (0.000, 0.500, 0.000)
I (0.500, 0.000, 0.000)
W (0.500, 0.500, 0.500)
Te (0.000, 0.000, 0.500)
Br (0.000, 0.000, 0.000)

## Properties
Size of the total moment: 3.98 Bohr magnetons per cell
Excess energy over the best structure of this formula in the dataset: 1.2727 eV per atom
Final energy: -12.3 eV/f.u.
Raw formation energy: 1.7051 eV per atom


Record 12
Computed, not measured: an optimized crystal structure of RbNaF3 at the PBE level of DFT.

Cell lengths 5.001, 5.001, 5.001 Å; angles 90.00, 90.00, 90.00 degrees
Fractional positions:
F (0.000, 0.000, 0.500)
F (0.500, 0.000, 0.000)
F (0.000, 0.500, 0.000)
Na (0.500, 0.500, 0.500)
Rb (0.000, 0.000, 0.000)

## Properties
Size of the total moment: 1.00 Bohr magnetons per cell
Excess energy over the best structure of this formula in the dataset: 0.4118 eV per atom
Final energy: -16.6 eV/f.u.
Raw formation energy: -1.7481 eV per atom


Number 1: Fermi-level density of states 0.72 states/eV/f.u.. Number 2: Fermi-level density of states 3.68 states/eV/f.u.. Number 3: Fermi-level density of states 3.73 states/eV/f.u.. Number 4: Fermi-level density of states 1.89 states/eV/f.u.. Number 5: Fermi-level density of states 1.61 states/eV/f.u.. Number 6: Fermi-level density of states 2.32 states/eV/f.u.. Number 7: Fermi-level density of states 1.13 states/eV/f.u.. Number 8: Fermi-level density of states 6.33 states/eV/f.u.. Number 9: Fermi-level density of states 3.63 states/eV/f.u.. Number 10: Fermi-level density of states 8.67 states/eV/f.u.. Number 11: Fermi-level density of states 6.89 states/eV/f.u.. Number 12: Fermi-level density of states 2.01 states/eV/f.u..